This record from the Alexandria database describes a geometry-optimized ZnHBr2 structure. The functional is PBEsol.

Cell lengths 4.674, 4.674, 4.674 Å; angles 60.00, 60.00, 60.00 degrees
Last column: magnetic moment on the atom in μB.
Fractional positions:
H 0.000 0.000 0.000  0.33
Zn 0.500 0.500 0.500  0.05
Br 0.250 0.250 0.250  0.04
Br 0.750 0.750 0.750  0.04

Calculated values
Final energy (eV/cell): -7.31
Space-group type: Fm-3m, No. 225